No. 1
Here is a relaxed structure of Ca12As6N from the Alexandria database. Energies are from PBE.

Summary:
Raw total energy in eV per atom: -4.155
Symmetry: No. 148
ΔE_f (raw) in meV per atom: -984
Theoretical density in kg/m³: 2850

Unit cell a=8.299 b=8.299 c=8.299 alpha=98.55 beta=98.55 gamma=98.55
Atoms (fractional coordinates):
Ca 0.818 0.562 0.416
Ca 0.416 0.818 0.562
Ca 0.562 0.416 0.818
Ca 0.182 0.438 0.584
Ca 0.584 0.182 0.438
Ca 0.438 0.584 0.182
Ca 0.062 0.962 0.299
Ca 0.038 0.701 0.938
Ca 0.701 0.938 0.038
Ca 0.938 0.038 0.701
Ca 0.962 0.299 0.062
Ca 0.299 0.062 0.962
As 0.710 0.871 0.388
As 0.612 0.290 0.129
As 0.129 0.612 0.290
As 0.290 0.129 0.612
As 0.388 0.710 0.871
As 0.871 0.388 0.710
N 0.000 0.000 0.000

***

No. 2
Here is a relaxed structure of Ca4AsN from the Alexandria database. Energies are from PBE.

Summary:
Raw total energy in eV per atom: -4.069
Symmetry: No. 123
ΔE_f (raw) in meV per atom: -572
Theoretical density in kg/m³: 2971

Unit cell a=4.561 b=4.561 c=6.695 alpha=90.00 beta=90.00 gamma=90.00
Atoms (fractional coordinates):
Ca 0.500 0.000 0.718
Ca 0.000 0.500 0.718
Ca 0.500 0.000 0.282
Ca 0.000 0.500 0.282
As 0.000 0.000 0.000
N 0.500 0.500 0.500

***

No. 3
Here is a relaxed structure of CaAsN2 from the Alexandria database. Energies are from PBE.

Summary:
Raw total energy in eV per atom: -5.869
Symmetry: No. 122
ΔE_f (raw) in meV per atom: -43
Theoretical density in kg/m³: 3746

Unit cell a=5.277 b=5.277 c=5.887 alpha=63.38 beta=63.38 gamma=90.00
Atoms (fractional coordinates):
As 0.000 0.000 0.000
As 0.750 0.250 0.500
Ca 0.500 0.500 0.000
Ca 0.250 0.750 0.500
N 0.693 0.125 0.250
N 0.057 0.625 0.250
N 0.375 0.307 0.750
N 0.875 0.943 0.750

***

No. 4
Here is a relaxed structure of Ca4AsN2 from the Alexandria database. Energies are from PBE.

Summary:
Raw total energy in eV per atom: -4.843
Symmetry: No. 74
ΔE_f (raw) in meV per atom: -656
Relative energy among the computed polymorphs in kJ per mole of atoms: 11.2
Theoretical density in kg/m³: 2823

Unit cell a=6.820 b=7.764 c=7.764 alpha=61.14 beta=63.95 gamma=63.95
Site moments in Bohr magnetons follow the coordinates.
Atoms (fractional coordinates):
Ca 0.285 0.180 0.250  0.00
Ca 0.285 0.750 0.680  0.00
Ca 0.258 0.249 0.749  0.00
Ca 0.744 0.249 0.749  0.00
Ca 0.256 0.751 0.251  0.00
Ca 0.715 0.250 0.320  0.00
Ca 0.742 0.751 0.251  0.00
Ca 0.715 0.820 0.750  0.00
As 0.000 0.500 0.000  0.01
As 0.500 0.500 0.000  0.01
N 0.144 0.106 0.606  0.05
N 0.500 0.000 0.000  0.10
N 0.500 0.500 0.500  0.10
N 0.856 0.894 0.394  0.05

***

No. 5
Here is a relaxed structure of CaAsN2 from the Alexandria database. Energies are from PBE.

Summary:
Raw total energy in eV per atom: -5.743
Symmetry: No. 166
ΔE_f (raw) in meV per atom: 83
Theoretical density in kg/m³: 3328

Unit cell a=6.264 b=6.264 c=6.264 alpha=34.77 beta=34.77 gamma=34.77
Atoms (fractional coordinates):
As 0.000 0.000 0.000
Ca 0.500 0.500 0.500
N 0.902 0.902 0.902
N 0.098 0.098 0.098

***

No. 6
Here is a relaxed structure of CaAsN from the Alexandria database. Energies are from PBE.

Summary:
Raw total energy in eV per atom: -5.647
Symmetry: No. 11
ΔE_f (raw) in meV per atom: -655
Relative energy among the computed polymorphs in kJ per mole of atoms: 0.0
Theoretical density in kg/m³: 3781

Unit cell a=5.079 b=6.467 c=11.359 alpha=32.99 beta=59.12 gamma=38.22
Atoms (fractional coordinates):
As 0.633 0.641 0.554
As 0.367 0.359 0.446
Ca 0.591 0.029 0.111
Ca 0.409 0.971 0.889
N 0.105 0.012 0.119
N 0.895 0.988 0.881

***

No. 7
Here is a relaxed structure of CaAsN from the Alexandria database. Energies are from PBE.

Summary:
Raw total energy in eV per atom: -5.448
Symmetry: No. 2
ΔE_f (raw) in meV per atom: -456
Relative energy among the computed polymorphs in kJ per mole of atoms: 19.2
Theoretical density in kg/m³: 3777

Unit cell a=6.836 b=6.492 c=4.236 alpha=71.02 beta=128.19 gamma=129.43
Atoms (fractional coordinates):
Ca 0.450 0.686 0.108
Ca 0.550 0.314 0.892
As 0.162 0.870 0.225
As 0.838 0.130 0.775
N 0.286 0.230 0.171
N 0.714 0.770 0.829

***

No. 8
Here is a relaxed structure of CaAs3N from the Alexandria database. Energies are from PBE.

Summary:
Raw total energy in eV per atom: -3.077
Symmetry: No. 221
ΔE_f (raw) in meV per atom: 1778
Relative energy among the computed polymorphs in kJ per mole of atoms: 148.7
Theoretical density in kg/m³: 2885

Unit cell a=5.435 b=5.435 c=5.435 alpha=90.00 beta=90.00 gamma=90.00
Site moments in Bohr magnetons follow the coordinates.
Atoms (fractional coordinates):
As 0.000 0.500 0.000  0.01
As 0.000 0.000 0.500  -0.06
As 0.500 0.000 0.000  0.01
Ca 0.000 0.000 0.000  0.02
N 0.500 0.500 0.500  1.84

***

No. 9
Here is a relaxed structure of Ca5As2N from the Alexandria database. Energies are from PBE.

Summary:
Raw total energy in eV per atom: -4.314
Symmetry: No. 63
ΔE_f (raw) in meV per atom: -860
Theoretical density in kg/m³: 2471

Unit cell a=5.540 b=7.291 c=13.102 alpha=90.00 beta=90.00 gamma=112.33
Atoms (fractional coordinates):
Ca 0.943 0.886 0.874
Ca 0.943 0.886 0.626
Ca 0.303 0.606 0.396
Ca 0.303 0.606 0.104
Ca 0.716 0.432 0.250
Ca 0.284 0.568 0.750
Ca 0.697 0.394 0.604
Ca 0.697 0.394 0.896
Ca 0.057 0.114 0.126
Ca 0.057 0.114 0.374
As 0.848 0.696 0.429
As 0.848 0.696 0.071
As 0.152 0.304 0.571
As 0.152 0.304 0.929
N 0.814 0.627 0.750
N 0.186 0.373 0.250

***

No. 10
Here is a relaxed structure of Ca2AsN from the Alexandria database. Energies are from PBE.

Summary:
Raw total energy in eV per atom: -4.714
Symmetry: No. 122
ΔE_f (raw) in meV per atom: -470
Relative energy among the computed polymorphs in kJ per mole of atoms: 0.0
Theoretical density in kg/m³: 3346

Unit cell a=7.230 b=7.230 c=6.037 alpha=53.22 beta=53.22 gamma=90.00
Atoms (fractional coordinates):
As 0.000 0.000 0.000
As 0.750 0.250 0.500
Ca 0.548 0.125 0.250
Ca 0.202 0.625 0.250
Ca 0.375 0.452 0.750
Ca 0.875 0.798 0.750
N 0.500 0.500 0.000
N 0.250 0.750 0.500

***

No. 11
Here is a relaxed structure of Ca8AsN4 from the Alexandria database. Energies are from PBE.

Summary:
Raw total energy in eV per atom: -4.939
Symmetry: No. 216
ΔE_f (raw) in meV per atom: -788
Theoretical density in kg/m³: 2482

Unit cell a=7.532 b=7.532 c=7.532 alpha=60.00 beta=60.00 gamma=60.00
Atoms (fractional coordinates):
Ca 0.572 0.143 0.143
Ca 0.143 0.572 0.143
Ca 0.143 0.143 0.572
Ca 0.143 0.143 0.143
Ca 0.189 0.604 0.604
Ca 0.604 0.189 0.604
Ca 0.604 0.604 0.189
Ca 0.604 0.604 0.604
As 0.750 0.750 0.750
N 0.881 0.373 0.373
N 0.373 0.881 0.373
N 0.373 0.373 0.881
N 0.373 0.373 0.373

***

No. 12
Here is a relaxed structure of CaAsN2 from the Alexandria database. Energies are from PBE.

Summary:
Raw total energy in eV per atom: -5.255
Symmetry: No. 166
ΔE_f (raw) in meV per atom: 571
Theoretical density in kg/m³: 4237

Unit cell a=6.971 b=6.971 c=6.971 alpha=25.69 beta=25.69 gamma=25.69
Site moments in Bohr magnetons follow the coordinates.
Atoms (fractional coordinates):
As 0.500 0.500 0.500  0.00
Ca 0.000 0.000 0.000  0.18
N 0.884 0.884 0.884  0.01
N 0.116 0.116 0.116  0.01

***

No. 13
Here is a relaxed structure of NaCa2AsN from the Alexandria database. Energies are from PBE.

Summary:
Raw total energy in eV per atom: -4.300
Symmetry: No. 123
ΔE_f (raw) in meV per atom: -641
Theoretical density in kg/m³: 3021

Unit cell a=4.774 b=4.774 c=4.632 alpha=90.00 beta=90.00 gamma=90.00
Site moments in Bohr magnetons follow the coordinates.
Atoms (fractional coordinates):
Na 0.000 0.000 0.500  0.00
As 0.500 0.500 0.500  0.08
Ca 0.000 0.500 0.000  0.00
Ca 0.500 0.000 0.000  0.00
N 0.000 0.000 0.000  0.15

***

No. 14
Here is a relaxed structure of Ca2NbAsN from the Alexandria database. Energies are from PBE.

Summary:
Raw total energy in eV per atom: -5.179
Symmetry: No. 123
ΔE_f (raw) in meV per atom: 231
Theoretical density in kg/m³: 4236

Unit cell a=4.650 b=4.750 c=4.650 alpha=90.00 beta=90.00 gamma=90.00
Site moments in Bohr magnetons follow the coordinates.
Atoms (fractional coordinates):
Nb 0.500 0.500 0.500  2.33
Ca 0.000 0.000 0.500  0.06
Ca 0.500 0.000 0.000  0.04
As 0.000 0.500 0.000  -0.10
N 0.000 0.000 0.000  0.01

***

No. 15
Here is a relaxed structure of Ca3NiAs2N from the Alexandria database. Energies are from PBE.

Summary:
Raw total energy in eV per atom: -5.015
Symmetry: No. 71
ΔE_f (raw) in meV per atom: -813
Theoretical density in kg/m³: 3892

Unit cell a=3.470 b=5.097 c=8.825 alpha=106.78 beta=101.34 gamma=90.00
Atoms (fractional coordinates):
Ca 0.000 0.500 0.000
Ca 0.160 0.160 0.320
Ca 0.840 0.840 0.680
Ni 0.500 0.000 0.000
As 0.657 0.657 0.314
As 0.343 0.343 0.686
N 0.000 0.000 0.000

***

No. 16
Here is a relaxed structure of CaNi2AsN from the Alexandria database. Energies are from PBE.

Summary:
Raw total energy in eV per atom: -5.822
Symmetry: No. 63
ΔE_f (raw) in meV per atom: -514
Theoretical density in kg/m³: 5890

Unit cell a=3.596 b=5.927 c=6.840 alpha=90.00 beta=90.00 gamma=107.66
Atoms (fractional coordinates):
Ca 0.469 0.937 0.750
Ca 0.531 0.063 0.250
Ni 0.161 0.321 0.952
Ni 0.839 0.679 0.048
Ni 0.161 0.321 0.548
Ni 0.839 0.679 0.452
As 0.735 0.470 0.750
As 0.265 0.530 0.250
N 0.000 0.000 0.000
N 0.000 0.000 0.500

***

No. 17
Here is a relaxed structure of Ca2NiAsN from the Alexandria database. Energies are from PBE.

Summary:
Raw total energy in eV per atom: -5.323
Symmetry: No. 123
ΔE_f (raw) in meV per atom: -771
Theoretical density in kg/m³: 4097

Unit cell a=5.110 b=5.110 c=3.535 alpha=90.00 beta=90.00 gamma=90.00
Atoms (fractional coordinates):
Ni 0.000 0.000 0.500
As 0.500 0.500 0.500
Ca 0.000 0.500 0.000
Ca 0.500 0.000 0.000
N 0.000 0.000 0.000

***

No. 18
Here is a relaxed structure of CaAsN2O from the Alexandria database. Energies are from PBE.

Summary:
Raw total energy in eV per atom: -5.903
Symmetry: No. 123
ΔE_f (raw) in meV per atom: -251
Theoretical density in kg/m³: 4691

Unit cell a=3.755 b=3.755 c=3.991 alpha=90.00 beta=90.00 gamma=90.00
Site moments in Bohr magnetons follow the coordinates.
Atoms (fractional coordinates):
As 0.000 0.000 0.000  0.00
Ca 0.500 0.500 0.500  0.00
O 0.000 0.000 0.500  0.03
N 0.000 0.500 0.000  0.18
N 0.500 0.000 0.000  0.18

***

No. 19
Here is a relaxed structure of CaAsN2O from the Alexandria database. Energies are from PBE.

Summary:
Raw total energy in eV per atom: -4.291
Symmetry: No. 123
ΔE_f (raw) in meV per atom: 1361
Theoretical density in kg/m³: 3004

Unit cell a=4.524 b=4.524 c=4.294 alpha=90.00 beta=90.00 gamma=90.00
Site moments in Bohr magnetons follow the coordinates.
Atoms (fractional coordinates):
As 0.500 0.500 0.500  -0.60
Ca 0.000 0.000 0.000  0.04
O 0.000 0.000 0.500  0.55
N 0.000 0.500 0.000  1.20
N 0.500 0.000 0.000  1.20

***

No. 20
Here is a relaxed structure of Ca4AsPN from the Alexandria database. Energies are from PBE.

Summary:
Raw total energy in eV per atom: -4.782
Symmetry: No. 63
ΔE_f (raw) in meV per atom: -1012
Theoretical density in kg/m³: 2872

Unit cell a=6.552 b=6.557 c=8.222 alpha=90.00 beta=113.48 gamma=90.00
Atoms (fractional coordinates):
Ca 0.920 0.250 0.840
Ca 0.416 0.750 0.832
Ca 0.080 0.750 0.160
Ca 0.584 0.250 0.168
Ca 0.500 0.500 0.500
Ca 0.000 0.000 0.500
Ca 0.500 0.000 0.500
Ca 0.000 0.500 0.500
As 0.611 0.750 0.223
As 0.389 0.250 0.777
P 0.114 0.250 0.229
P 0.886 0.750 0.771
N 0.250 0.750 0.500
N 0.750 0.250 0.500

***

No. 21
Here is a relaxed structure of Ca2PaAsN2 from the Alexandria database. Energies are from PBE.

Summary:
Raw total energy in eV per atom: -7.058
Symmetry: No. 123
ΔE_f (raw) in meV per atom: -1258
Theoretical density in kg/m³: 5704

Unit cell a=4.351 b=4.351 c=6.367 alpha=90.00 beta=90.00 gamma=90.00
Atoms (fractional coordinates):
Ca 0.500 0.500 0.747
Ca 0.500 0.500 0.253
Pa 0.000 0.000 0.000
As 0.000 0.000 0.500
N 0.500 0.000 0.000
N 0.000 0.500 0.000

***

No. 22
Here is a relaxed structure of Ca2AsPdN from the Alexandria database. Energies are from PBE.

Summary:
Raw total energy in eV per atom: -5.116
Symmetry: No. 123
ΔE_f (raw) in meV per atom: -682
Theoretical density in kg/m³: 4713

Unit cell a=4.943 b=4.943 c=3.973 alpha=90.00 beta=90.00 gamma=90.00
Atoms (fractional coordinates):
As 0.500 0.500 0.500
Ca 0.000 0.500 0.000
Ca 0.500 0.000 0.000
Pd 0.000 0.000 0.500
N 0.000 0.000 0.000

***

No. 23
Here is a relaxed structure of CaAsPt2N from the Alexandria database. Energies are from PBE.

Summary:
Raw total energy in eV per atom: -4.568
Symmetry: No. 123
ΔE_f (raw) in meV per atom: 843
Theoretical density in kg/m³: 6999

Unit cell a=4.602 b=5.815 c=4.602 alpha=90.00 beta=90.00 gamma=90.00
Site moments in Bohr magnetons follow the coordinates.
Atoms (fractional coordinates):
As 0.000 0.000 0.000  0.02
Ca 0.000 0.500 0.000  -0.01
Pt 0.000 0.000 0.500  -0.04
Pt 0.500 0.000 0.000  -0.04
N 0.500 0.500 0.500  1.38

***

No. 24
Here is a relaxed structure of Ca2Pu4As3N2 from the Alexandria database. Energies are from PBE.

Summary:
Raw total energy in eV per atom: -9.412
Symmetry: No. 139
ΔE_f (raw) in meV per atom: -1055
Theoretical density in kg/m³: 8627

Unit cell a=4.593 b=4.593 c=12.377 alpha=100.69 beta=100.69 gamma=90.00
Site moments in Bohr magnetons follow the coordinates.
Atoms (fractional coordinates):
Ca 0.299 0.299 0.599  0.02
Ca 0.701 0.701 0.401  0.02
Pu 0.416 0.916 0.832  5.20
Pu 0.916 0.416 0.832  5.20
Pu 0.084 0.584 0.168  5.20
Pu 0.584 0.084 0.168  5.20
As 0.000 0.000 0.000  -0.13
As 0.173 0.173 0.347  -0.07
As 0.827 0.827 0.653  -0.07
N 0.401 0.401 0.801  -0.26
N 0.599 0.599 0.199  -0.26

***

No. 25
Here is a relaxed structure of Ca2As2Ru2N from the Alexandria database. Energies are from PBE.

Summary:
Raw total energy in eV per atom: -6.434
Symmetry: No. 12
ΔE_f (raw) in meV per atom: -694
Theoretical density in kg/m³: 5752

Unit cell a=3.934 b=6.040 c=6.325 alpha=68.18 beta=71.88 gamma=70.99
Atoms (fractional coordinates):
Ca 0.559 0.175 0.707
Ca 0.441 0.825 0.293
As 0.174 0.356 0.297
As 0.826 0.644 0.703
Ru 0.185 0.699 0.930
Ru 0.815 0.301 0.070
N 0.000 0.000 0.000